Entry 1:
First-principles (GGA-PBE) data for a relaxed La10NdDy4 crystal, as listed in Alexandria.

The space group is I4/mmm.

Lattice parameters (Å, degrees): 9.1192 9.1192 9.1192 101.04 101.04 128.10
Fractional positions:
La  0.0092  0.7911  0.2180
La  0.2089  0.4269  0.2180
La  0.2089  0.9908  0.7820
La  0.2500  0.7500  0.5000
La  0.4269  0.2089  0.2180
La  0.5731  0.7911  0.7820
La  0.7500  0.2500  0.5000
La  0.7911  0.0092  0.2180
La  0.7911  0.5731  0.7820
La  0.9908  0.2089  0.7820
Nd  0.5000  0.5000  0.0000
Dy  0.2712  0.2712  0.5424
Dy  0.2712  0.7288  0.0000
Dy  0.7288  0.2712  0.0000
Dy  0.7288  0.7288  0.4576

Entry 2:
First-principles (GGA-PBE) data for a relaxed TlPbCl2F crystal, as listed in Alexandria.

The space group is P4/mmm.

Lattice parameters (Å, degrees): 5.7793 5.7793 4.7258 90.00 90.00 90.00
Fractional positions:
Tl  0.0000  0.0000  0.0000
Pb  0.5000  0.5000  0.5000
Cl  0.0000  0.5000  0.5000
Cl  0.5000  0.0000  0.5000
F  0.5000  0.5000  0.0000

| no. | final energy (eV per cell) | ρ (g cm⁻³) |
| --- | --- | --- |
| 1 | -69.42 | 6.76 |
| 2 | -18.62 | 5.28 |